[1]
The following is a PBE calculation of a relaxed ZrGa2AuBr crystal, from the Alexandria database.

Computed properties:
E above lowest polymorph	488	meV/atom

a b c (Å): 5.181 5.181 5.005
angles (deg): 90.00 90.00 90.00
Fractional coordinates of all 5 atoms:
Zr (0.000, 0.000, 0.000)
Ga (0.000, 0.500, 0.500)
Ga (0.500, 0.000, 0.500)
Au (0.500, 0.500, 0.000)
Br (0.000, 0.000, 0.500)

***

[2]
The following is a PBE calculation of a relaxed Gd2AuBr crystal, from the Alexandria database.

Computed properties:
E above lowest polymorph	90	meV/atom

a b c (Å): 3.528 3.528 8.175
angles (deg): 90.00 90.00 90.00
Fractional coordinates of all 4 atoms:
Gd (0.000, 0.000, 0.224)
Gd (0.000, 0.000, 0.776)
Au (0.500, 0.500, 0.000)
Br (0.500, 0.500, 0.500)

***

[3]
The following is a PBE calculation of a relaxed Gd2AuBr crystal, from the Alexandria database.

Computed properties:
E above lowest polymorph	0	meV/atom

a b c (Å): 7.909 7.909 7.909
angles (deg): 30.72 30.72 30.72
Fractional coordinates of all 4 atoms:
Gd (0.238, 0.238, 0.238)
Gd (0.762, 0.762, 0.762)
Au (0.500, 0.500, 0.500)
Br (0.000, 0.000, 0.000)

***

[4]
The following is a PBE calculation of a relaxed Ge5Au12Br3 crystal, from the Alexandria database.

a b c (Å): 13.662 13.662 13.662
angles (deg): 109.47 109.47 109.47
Fractional coordinates of all 80 atoms:
Ge (0.000, 0.000, 0.000)
Ge (0.000, 0.000, 0.500)
Ge (0.000, 0.500, 0.000)
Ge (0.000, 0.500, 0.500)
Ge (0.125, 0.750, 0.875)
Ge (0.125, 0.875, 0.250)
Ge (0.250, 0.125, 0.875)
Ge (0.250, 0.625, 0.375)
Ge (0.375, 0.250, 0.625)
Ge (0.375, 0.625, 0.750)
Ge (0.500, 0.000, 0.000)
Ge (0.500, 0.000, 0.500)
Ge (0.500, 0.500, 0.000)
Ge (0.500, 0.500, 0.500)
Ge (0.625, 0.375, 0.250)
Ge (0.625, 0.750, 0.375)
Ge (0.750, 0.375, 0.625)
Ge (0.750, 0.875, 0.125)
Ge (0.875, 0.125, 0.750)
Ge (0.875, 0.250, 0.125)
Au (0.033, 0.214, 0.094)
Au (0.033, 0.318, 0.938)
Au (0.062, 0.594, 0.380)
Au (0.062, 0.967, 0.682)
Au (0.094, 0.033, 0.214)
Au (0.094, 0.562, 0.880)
Au (0.120, 0.714, 0.682)
Au (0.120, 0.906, 0.438)
Au (0.182, 0.214, 0.620)
Au (0.182, 0.467, 0.562)
Au (0.214, 0.094, 0.033)
Au (0.214, 0.620, 0.182)
Au (0.286, 0.318, 0.880)
Au (0.286, 0.467, 0.406)
Au (0.318, 0.880, 0.286)
Au (0.318, 0.938, 0.033)
Au (0.380, 0.062, 0.594)
Au (0.380, 0.818, 0.786)
Au (0.406, 0.286, 0.467)
Au (0.406, 0.620, 0.938)
Au (0.438, 0.120, 0.906)
Au (0.438, 0.818, 0.533)
Au (0.467, 0.406, 0.286)
Au (0.467, 0.562, 0.182)
Au (0.533, 0.438, 0.818)
Au (0.533, 0.594, 0.714)
Au (0.562, 0.182, 0.467)
Au (0.562, 0.880, 0.094)
Au (0.594, 0.380, 0.062)
Au (0.594, 0.714, 0.533)
Au (0.620, 0.182, 0.214)
Au (0.620, 0.938, 0.406)
Au (0.682, 0.062, 0.967)
Au (0.682, 0.120, 0.714)
Au (0.714, 0.533, 0.594)
Au (0.714, 0.682, 0.120)
Au (0.786, 0.380, 0.818)
Au (0.786, 0.906, 0.967)
Au (0.818, 0.533, 0.438)
Au (0.818, 0.786, 0.380)
Au (0.880, 0.094, 0.562)
Au (0.880, 0.286, 0.318)
Au (0.906, 0.438, 0.120)
Au (0.906, 0.967, 0.786)
Au (0.938, 0.033, 0.318)
Au (0.938, 0.406, 0.620)
Au (0.967, 0.682, 0.062)
Au (0.967, 0.786, 0.906)
Br (0.125, 0.250, 0.375)
Br (0.125, 0.375, 0.750)
Br (0.250, 0.375, 0.125)
Br (0.250, 0.875, 0.625)
Br (0.375, 0.125, 0.250)
Br (0.375, 0.750, 0.125)
Br (0.625, 0.250, 0.875)
Br (0.625, 0.875, 0.750)
Br (0.750, 0.125, 0.375)
Br (0.750, 0.625, 0.875)
Br (0.875, 0.625, 0.250)
Br (0.875, 0.750, 0.625)

***

[5]
The following is a PBE calculation of a relaxed GeAuBr3 crystal, from the Alexandria database.

Computed properties:
E above lowest polymorph	137	meV/atom

a b c (Å): 5.310 5.310 5.310
angles (deg): 90.00 90.00 90.00
Fractional coordinates of all 5 atoms:
Ge (0.000, 0.000, 0.000)
Au (0.500, 0.500, 0.500)
Br (0.000, 0.500, 0.500)
Br (0.500, 0.000, 0.500)
Br (0.500, 0.500, 0.000)

***

[6]
The following is a PBE calculation of a relaxed GeAu3Br crystal, from the Alexandria database.

Computed properties:
E above lowest polymorph	0	meV/atom

a b c (Å): 4.981 4.981 4.981
angles (deg): 90.00 90.00 90.00
Fractional coordinates of all 5 atoms:
Ge (0.000, 0.000, 0.000)
Au (0.000, 0.000, 0.500)
Au (0.000, 0.500, 0.000)
Au (0.500, 0.000, 0.000)
Br (0.500, 0.500, 0.500)

***

[7]
The following is a PBE calculation of a relaxed GeAuBr3 crystal, from the Alexandria database.

Computed properties:
E above lowest polymorph	0	meV/atom

a b c (Å): 5.326 5.326 5.326
angles (deg): 90.00 90.00 90.00
Fractional coordinates of all 5 atoms:
Ge (0.000, 0.000, 0.000)
Au (0.500, 0.500, 0.500)
Br (0.000, 0.000, 0.500)
Br (0.000, 0.500, 0.000)
Br (0.500, 0.000, 0.000)

***

[8]
The following is a PBE calculation of a relaxed Ge3AuBr crystal, from the Alexandria database.

Computed properties:
E above lowest polymorph	0	meV/atom

a b c (Å): 5.152 5.152 5.152
angles (deg): 90.00 90.00 90.00
Fractional coordinates of all 5 atoms:
Ge (0.000, 0.000, 0.500)
Ge (0.000, 0.500, 0.000)
Ge (0.500, 0.000, 0.000)
Au (0.000, 0.000, 0.000)
Br (0.500, 0.500, 0.500)

***

Calculated formation energy (no corrections) (eV per atom), listed in the same order as above: 0.67, -0.88, -0.97, 0.20, 0.25, 0.45, 0.11, 0.53
Calculated magnetization (μB per formula unit), listed in the same order as above: 0.000, 14.930, 14.243, 0.000, 0.718, 0.000, 0.000, 0.000